This record from Alexandria describes a relaxed H6PdRhPb2 crystal. The functional is PBE-GGA.

Lattice parameters (Å, degrees): 5.341 5.341 5.355 119.57 119.57 90.45
Atoms (fractional coordinates):
H: 0.000 0.000 0.000
H: 0.003 0.527 0.529
H: 0.007 0.007 0.529
H: 0.524 0.524 0.530
H: 0.527 0.003 0.529
H: 0.532 0.532 0.061
Pd: 0.265 0.265 0.529
Rh: 0.766 0.766 0.530
Pb: 0.013 0.515 0.028
Pb: 0.515 0.013 0.028

Values from the calculation:
Total moment (Bohr magnetons per cell): 0.00
Density (Mg/m³): 9.592
E_tot (eV for the cell shown): -39.5